# PBE-GGA CsCa3Cu4I12, optimized geometry
# - formation energy from raw total energies (kcal/mol of atoms) = -20.26
# - M_tot (μB/atom) = 0.05
# - density of states at the Fermi level (states/eV/f.u.) = 16.5
data_CsCa3Cu4I12
_symmetry_space_group_name_H-M 'R 3 2'
_symmetry_Int_Tables_number 155
_symmetry_space_group_name_Hall 'R 3 2"'
_cell_length_a 15.9478
_cell_length_b 15.9478
_cell_length_c 12.2247
_cell_angle_alpha 90.00
_cell_angle_beta 90.00
_cell_angle_gamma 120.00
loop_
_atom_site_label
_atom_site_type_symbol
_atom_site_fract_x
_atom_site_fract_y
_atom_site_fract_z
_atom_site_occupancy
Cs1 Cs 0.0000 0.0000 0.0000 1
Ca1 Ca 0.0000 0.5618 0.0000 1
Cu1 Cu 0.0000 0.0000 0.5000 1
Cu2 Cu 0.0000 0.4285 0.5000 1
I1 I 0.0000 0.5916 0.5000 1
I2 I 0.0000 0.8411 0.5000 1
I3 I 0.0461 0.2124 0.1902 1